Record 1
DFT (PBE) results for Pr4Tm10Sc after structural relaxation.

Results
Energy   -4.4049 eV per atom
Density of states at the Fermi level   1.582 states/eV per atom
Energy relative to the elements   273 meV per atom

```
Pr4Tm10Sc
1.0
7.146 0.000 3.227
3.573 7.911 1.613
0.317 0.000 8.824
Tm Sc Pr
10 1 4
Cartesian
6.048 1.641 9.613
4.989 6.270 4.050
9.622 6.273 11.225
7.955 6.270 5.390
6.656 6.273 9.885
7.305 3.956 7.639
3.732 3.956 6.025
4.381 1.639 3.779
3.082 1.641 8.274
1.415 1.639 2.439
0.000 0.000 0.000
9.247 7.908 8.101
3.892 4.333 10.434
7.145 3.578 3.230
1.790 0.003 5.563
```

---

Record 2
DFT (PBE) results for PrTm12Sc7 after structural relaxation.

Results
Offset from the most stable computed form   0 meV per atom
Energy   -4.8672 eV per atom
Density of states at the Fermi level   1.918 states/eV per atom
Energy relative to the elements   271 meV per atom

```
PrTm12Sc7
1.0
-0.554 0.880 -9.552
6.032 -6.959 2.740
-8.629 -0.717 4.166
Tm Sc Pr
12 7 1
Cartesian
-4.675 -4.126 -0.127
-1.165 -3.201 2.047
-1.986 -3.595 -4.693
1.304 -1.333 -6.083
0.205 -6.204 -0.601
1.895 -5.198 3.142
3.199 -6.530 -2.941
-4.455 -5.464 3.438
-6.350 -0.267 0.295
-5.046 -1.598 -5.788
1.524 -2.671 -2.519
-3.356 -0.592 -2.045
-3.374 -1.303 0.978
-2.472 -6.027 0.958
0.223 -5.493 -3.624
-4.673 -3.409 -3.146
1.522 -3.387 0.500
-0.679 -0.769 -3.604
-1.576 -3.398 -1.323
0.000 0.000 0.000
```

---

Record 3
DFT (PBE) results for PrTm4Sc4 after structural relaxation.

Results
Offset from the most stable computed form   209 meV per atom
Energy   -5.0657 eV per atom
Density of states at the Fermi level   1.808 states/eV per atom
Energy relative to the elements   267 meV per atom

```
PrTm4Sc4
1.0
-3.592 3.625 4.424
-0.494 -5.401 4.025
9.919 3.164 5.461
Tm Pr Sc
8 2 8
Cartesian
5.765 2.961 7.410
5.510 0.163 9.496
1.127 -1.113 4.311
6.833 -1.706 6.946
0.059 3.554 4.776
1.790 1.807 2.644
7.071 0.897 5.006
-0.734 0.766 6.603
2.917 0.694 6.955
0.000 0.000 0.000
8.316 1.077 8.130
-1.335 0.811 3.408
4.252 -0.116 3.548
4.036 -2.484 5.312
4.520 2.782 4.286
-1.612 -2.223 5.669
6.299 3.113 10.615
2.946 4.371 6.226
```

---

Record 4
DFT (PBE) results for Pr2Tm6Sc after structural relaxation.

Results
Offset from the most stable computed form   21 meV per atom
Energy   -4.6412 eV per atom
Density of states at the Fermi level   1.385 states/eV per atom
Energy relative to the elements   105 meV per atom

```
Pr2Tm6Sc
1.0
5.982 -0.103 -0.100
1.218 9.768 1.484
1.218 1.800 9.715
Tm Pr Sc
12 4 2
Cartesian
4.159 4.031 6.161
2.512 9.945 3.733
5.503 4.002 9.769
4.141 10.253 7.761
4.278 1.212 3.338
7.132 8.038 9.946
1.168 6.339 3.880
5.907 1.519 7.366
1.287 3.427 1.153
4.260 7.433 4.938
7.251 5.125 7.219
2.916 7.463 1.330
7.252 8.513 6.555
4.158 4.586 2.753
4.261 6.878 8.346
1.167 2.952 4.544
5.705 8.859 2.268
2.714 2.606 8.831
```

---

no.,calculated volume (Å³ per atom)
1,32.72
2,29.35
3,29.80
4,30.76